Pu2TcI | PBE | optimized geometry

electronic total energy	-10.36	eV/atom
N(E_F)	11.50	states/eV per cell
polymorph energy (0 for the lowest one)	0.00	eV/f.u.
E_form (uncorrected)	-0.216	eV/atom

Unit cell a=3.447 b=3.447 c=8.175 alpha=90.00 beta=90.00 gamma=90.00
Space group P4/mmm (No. 123)
Asymmetric unit:
Pu 0.000 0.000 0.206 [2 per cell]
Tc 0.500 0.500 0.000 [1 per cell]
I 0.500 0.500 0.500 [1 per cell]


Pu2TcI | PBE | optimized geometry

electronic total energy	-10.28	eV/atom
N(E_F)	40.49	states/eV per cell
polymorph energy (0 for the lowest one)	0.31	eV/f.u.
E_form (uncorrected)	-0.139	eV/atom

Unit cell a=4.0000 b=4.0000 c=23.5524 alpha=90.00 beta=90.00 gamma=120.00
Space group R-3m (No. 166, hexagonal axes)
Asymmetric unit:
Pu 0.0000 0.0000 0.2296 [6 per cell]
Tc 0.0000 0.0000 0.5000 [3 per cell]
I 0.0000 0.0000 0.0000 [3 per cell]


PuTcI | PBE | optimized geometry

electronic total energy	-8.96	eV/atom
N(E_F)	12.83	states/eV per cell
E_form (uncorrected)	-0.206	eV/atom

Unit cell a=3.694 b=3.694 c=11.886 alpha=90.00 beta=90.00 gamma=90.00
Space group P4/nmm (No. 129, origin choice 2)
Asymmetric unit:
Pu 0.250 0.250 0.182 [2 per cell]
Tc 0.250 0.250 0.967 [2 per cell]
I 0.250 0.250 0.653 [2 per cell]


PuTeI2 | PBE | optimized geometry

electronic total energy	-5.57	eV/atom
N(E_F)	34.22	states/eV per cell
polymorph energy (0 for the lowest one)	1.69	eV/f.u.
E_form (uncorrected)	-0.427	eV/atom

Unit cell a=3.9504 b=3.9504 c=36.1787 alpha=90.00 beta=90.00 gamma=120.00
Space group R-3m (No. 166, hexagonal axes)
Asymmetric unit:
Pu 0.0000 0.0000 0.0000 [3 per cell]
Te 0.0000 0.0000 0.5000 [3 per cell]
I 0.0000 0.0000 0.3916 [6 per cell]